Below is an optimized crystal structure of YTh9MgO20, with properties calculated at the GGA-PBE level.

POSCAR file:
```
YTh9MgO20
1.0
6.935 0.000 0.000
-2.342 7.640 0.000
-1.084 -2.455 8.523
Y Th Mg O
1 9 1 20
direct
0.000 0.000 0.000
0.147 0.417 0.374
0.149 0.917 0.381
0.336 0.804 0.770
0.350 0.312 0.780
0.549 0.226 0.186
0.552 0.723 0.174
0.743 0.624 0.580
0.750 0.121 0.568
0.953 0.523 0.978
0.714 0.127 0.897
0.002 0.742 0.830
0.093 0.690 0.526
0.096 0.195 0.528
0.201 0.642 0.227
0.207 0.145 0.235
0.296 0.591 0.926
0.303 0.090 0.933
0.388 0.039 0.621
0.392 0.541 0.625
0.499 0.497 0.330
0.502 0.995 0.325
0.598 0.455 0.033
0.608 0.945 0.021
0.692 0.897 0.725
0.697 0.402 0.720
0.798 0.846 0.426
0.799 0.345 0.424
0.896 0.286 0.120
0.910 0.792 0.133
0.989 0.235 0.829
```

Computed properties:
space group: P1, No. 1
relative energy among the computed polymorphs: 0.09 kcal/mol of atoms
calculated density: 9271 kg/m³
magnetization: 1.0 μB/cell
ΔE_f (raw): -3.632 eV/atom
N(E_F): 0.00 states/eV/f.u.
final energy: -9.245 eV/atom